Entry 1:
Below is a relaxed Zr5Zn4Cu crystal, with properties calculated at the PBE-GGA level.

Summary:
- Space group: P4/mmm, No. 123
- Total moment: 0.00 μB/f.u.
- Formation energy: -0.239 eV/atom

a = 3.309 Å, b = 3.309 Å, c = 16.870 Å
α = 90.00°, β = 90.00°, γ = 90.00°
Sites, in units of the cell vectors:
1 Zr 0.000 0.000 0.000
2 Zr 0.000 0.000 0.201
3 Zr 0.000 0.000 0.403
4 Zr 0.000 0.000 0.597
5 Zr 0.000 0.000 0.799
6 Zn 0.500 0.500 0.101
7 Zn 0.500 0.500 0.303
8 Zn 0.500 0.500 0.697
9 Zn 0.500 0.500 0.899
10 Cu 0.500 0.500 0.500

Entry 2:
Below is a relaxed ZrZnCu2 crystal, with properties calculated at the PBE-GGA level.

Summary:
- Space group: I-42d, No. 122
- Total moment: 0.00 μB/f.u.
- Formation energy: 0.225 eV/atom

a = 9.146 Å, b = 9.146 Å, c = 9.146 Å
α = 155.01°, β = 155.01°, γ = 35.63°
Sites, in units of the cell vectors:
1 Zr 0.000 0.000 0.000
2 Zr 0.750 0.250 0.500
3 Zn 0.250 0.750 0.500
4 Zn 0.500 0.500 0.000
5 Cu 0.187 0.625 0.062
6 Cu 0.375 0.437 0.562
7 Cu 0.563 0.125 0.938
8 Cu 0.875 0.813 0.438

Entry 3:
Below is a relaxed ZrZn2Cu crystal, with properties calculated at the PBE-GGA level.

Summary:
- Space group: I-42d, No. 122
- Total moment: 0.00 μB/f.u.
- Formation energy: 0.110 eV/atom

a = 5.754 Å, b = 5.754 Å, c = 5.754 Å
α = 102.84°, β = 102.84°, γ = 123.75°
Sites, in units of the cell vectors:
1 Zr 0.000 0.000 0.000
2 Zr 0.750 0.250 0.500
3 Zn 0.165 0.625 0.040
4 Zn 0.375 0.415 0.540
5 Zn 0.585 0.125 0.960
6 Zn 0.875 0.835 0.460
7 Cu 0.250 0.750 0.500
8 Cu 0.500 0.500 0.000

Entry 4:
Below is a relaxed ZrZn2Cu crystal, with properties calculated at the PBE-GGA level.

Summary:
- Space group: C2/m, No. 12
- Total moment: 0.00 μB/f.u.
- Formation energy: 0.037 eV/atom

a = 5.379 Å, b = 5.379 Å, c = 2.658 Å
α = 96.97°, β = 96.97°, γ = 117.33°
Sites, in units of the cell vectors:
1 Zr 0.000 0.000 0.000
2 Zn 0.000 0.500 0.500
3 Zn 0.500 0.000 0.500
4 Cu 0.500 0.500 0.000

Entry 5:
Below is a relaxed ZrZn10Cu2 crystal, with properties calculated at the PBE-GGA level.

Summary:
- Space group: P-1, No. 2
- Total moment: 0.00 μB/f.u.
- Formation energy: -0.136 eV/atom

a = 5.090 Å, b = 6.635 Å, c = 6.653 Å
α = 81.60°, β = 67.69°, γ = 67.57°
Sites, in units of the cell vectors:
1 Zr 0.000 0.000 0.000
2 Zn 0.000 0.000 0.500
3 Zn 0.007 0.646 0.341
4 Zn 0.286 0.216 0.210
5 Zn 0.348 0.646 0.659
6 Zn 0.496 0.216 0.790
7 Zn 0.500 0.000 0.500
8 Zn 0.504 0.784 0.210
9 Zn 0.652 0.354 0.341
10 Zn 0.714 0.784 0.790
11 Zn 0.993 0.354 0.659
12 Cu 0.000 0.500 0.000
13 Cu 0.500 0.500 0.000

Entry 6:
Below is a relaxed ZrZn2Cu crystal, with properties calculated at the PBE-GGA level.

Summary:
- Space group: P4/mmm, No. 123
- Total moment: 0.00 μB/f.u.
- Formation energy: -0.130 eV/atom

a = 3.928 Å, b = 3.928 Å, c = 4.253 Å
α = 90.00°, β = 90.00°, γ = 90.00°
Sites, in units of the cell vectors:
1 Zr 0.000 0.000 0.000
2 Zn 0.000 0.500 0.500
3 Zn 0.500 0.000 0.500
4 Cu 0.500 0.500 0.000

Entry 7:
Below is a relaxed Zr2Zn9Cu3 crystal, with properties calculated at the PBE-GGA level.

Summary:
- Space group: Cmcm, No. 63
- Total moment: 0.00 μB/f.u.
- Formation energy: -0.177 eV/atom

a = 7.344 Å, b = 7.344 Å, c = 8.895 Å
α = 90.00°, β = 90.00°, γ = 61.97°
Sites, in units of the cell vectors:
1 Zr 0.001 0.311 0.250
2 Zr 0.311 0.001 0.750
3 Zr 0.689 0.999 0.250
4 Zr 0.999 0.689 0.750
5 Zn 0.013 0.654 0.086
6 Zn 0.013 0.654 0.414
7 Zn 0.135 0.865 0.250
8 Zn 0.334 0.666 0.556
9 Zn 0.334 0.666 0.944
10 Zn 0.346 0.987 0.086
11 Zn 0.346 0.987 0.414
12 Zn 0.353 0.434 0.250
13 Zn 0.434 0.353 0.750
14 Zn 0.566 0.647 0.250
15 Zn 0.647 0.566 0.750
16 Zn 0.654 0.013 0.586
17 Zn 0.654 0.013 0.914
18 Zn 0.666 0.334 0.056
19 Zn 0.666 0.334 0.444
20 Zn 0.865 0.135 0.750
21 Zn 0.987 0.346 0.586
22 Zn 0.987 0.346 0.914
23 Cu 0.000 0.000 0.000
24 Cu 0.000 0.000 0.500
25 Cu 0.318 0.318 0.000
26 Cu 0.318 0.318 0.500
27 Cu 0.682 0.682 0.000
28 Cu 0.682 0.682 0.500

Entry 8:
Below is a relaxed ZrZnCu5 crystal, with properties calculated at the PBE-GGA level.

Summary:
- Space group: Pnma, No. 62
- Total moment: 0.00 μB/f.u.
- Formation energy: -0.097 eV/atom

a = 7.923 Å, b = 4.851 Å, c = 10.144 Å
α = 90.00°, β = 90.00°, γ = 90.00°
Sites, in units of the cell vectors:
1 Zr 0.246 0.250 0.067
2 Zr 0.254 0.750 0.567
3 Zr 0.746 0.250 0.433
4 Zr 0.754 0.750 0.933
5 Zn 0.142 0.750 0.856
6 Zn 0.358 0.250 0.356
7 Zn 0.642 0.750 0.644
8 Zn 0.858 0.250 0.144
9 Cu 0.053 0.750 0.087
10 Cu 0.067 0.006 0.307
11 Cu 0.067 0.494 0.307
12 Cu 0.092 0.250 0.516
13 Cu 0.186 0.250 0.748
14 Cu 0.314 0.750 0.248
15 Cu 0.408 0.750 0.016
16 Cu 0.433 0.506 0.807
17 Cu 0.433 0.994 0.807
18 Cu 0.447 0.250 0.587
19 Cu 0.553 0.750 0.413
20 Cu 0.567 0.006 0.193
21 Cu 0.567 0.494 0.193
22 Cu 0.592 0.250 0.984
23 Cu 0.686 0.250 0.752
24 Cu 0.814 0.750 0.252
25 Cu 0.908 0.750 0.484
26 Cu 0.933 0.506 0.693
27 Cu 0.933 0.994 0.693
28 Cu 0.947 0.250 0.913

Entry 9:
Below is a relaxed Zr4ZnCu3 crystal, with properties calculated at the PBE-GGA level.

Summary:
- Space group: Pmma, No. 51
- Total moment: 0.00 μB/f.u.
- Formation energy: -0.141 eV/atom

a = 9.297 Å, b = 6.599 Å, c = 4.654 Å
α = 90.00°, β = 90.00°, γ = 90.00°
Sites, in units of the cell vectors:
1 Zr 0.000 0.248 0.000
2 Zr 0.000 0.752 0.000
3 Zr 0.250 0.248 0.490
4 Zr 0.250 0.752 0.490
5 Zr 0.500 0.248 0.000
6 Zr 0.500 0.752 0.000
7 Zr 0.750 0.248 0.510
8 Zr 0.750 0.752 0.510
9 Zn 0.000 0.500 0.500
10 Zn 0.500 0.500 0.500
11 Cu 0.000 0.000 0.500
12 Cu 0.250 0.000 0.987
13 Cu 0.250 0.500 0.984
14 Cu 0.500 0.000 0.500
15 Cu 0.750 0.000 0.013
16 Cu 0.750 0.500 0.016

Entry 10:
Below is a relaxed ZrZn5Cu crystal, with properties calculated at the PBE-GGA level.

Summary:
- Space group: P4/mmm, No. 123
- Total moment: 0.00 μB/f.u.
- Formation energy: -0.180 eV/atom

a = 4.187 Å, b = 4.187 Å, c = 6.545 Å
α = 90.00°, β = 90.00°, γ = 90.00°
Sites, in units of the cell vectors:
1 Zr 0.000 0.000 0.000
2 Zn 0.000 0.500 0.294
3 Zn 0.000 0.500 0.706
4 Zn 0.500 0.000 0.294
5 Zn 0.500 0.000 0.706
6 Zn 0.500 0.500 0.000
7 Cu 0.000 0.000 0.500

Entry 11:
Below is a relaxed ZrZn2Cu2 crystal, with properties calculated at the PBE-GGA level.

Summary:
- Space group: I4/mmm, No. 139
- Total moment: 0.00 μB/f.u.
- Formation energy: -0.102 eV/atom
- Offset from the most stable computed form: 0.2 kJ per mole of atoms

a = 6.276 Å, b = 6.276 Å, c = 6.276 Å
α = 145.66°, β = 145.66°, γ = 49.35°
Sites, in units of the cell vectors:
1 Zr 0.000 0.000 0.000
2 Zn 0.250 0.750 0.500
3 Zn 0.750 0.250 0.500
4 Cu 0.397 0.397 0.000
5 Cu 0.603 0.603 0.000

Entry 12:
Below is a relaxed ZrCu2 crystal, with properties calculated at the PBE-GGA level.

Summary:
- Space group: P4/mmm, No. 123
- Total moment: 0.00 μB/f.u.
- Formation energy: 0.541 eV/atom

a = 4.579 Å, b = 4.579 Å, c = 2.941 Å
α = 90.00°, β = 90.00°, γ = 90.00°
Sites, in units of the cell vectors:
1 Zr 0.000 0.000 0.000
2 Cu 0.000 0.500 0.500
3 Cu 0.500 0.000 0.500